# Rb2ScTaF6 | the Alexandria database | GGA-PBE | relaxed
# * volume: 171 Å³/cell
# * E_tot: -56.56 eV/f.u.
data_Rb2ScTaF6
_space_group_name_H-M_alt 'P 1'
_space_group_IT_number 1
_space_group_name_Hall 'P 1'
_cell_length_a 6.2700
_cell_length_b 6.2700
_cell_length_c 6.2158
_cell_angle_alpha 59.71
_cell_angle_beta 59.71
_cell_angle_gamma 90.00
loop_
_atom_site_label
_atom_site_type_symbol
_atom_site_fract_x
_atom_site_fract_y
_atom_site_fract_z
Rb1 Rb 0.7500 0.2500 0.5000
Rb2 Rb 0.2500 0.7500 0.5000
F1 F 0.2535 0.7465 0.0000
F2 F 0.2535 0.2535 0.0000
F3 F 0.7412 0.7412 0.5176
F4 F 0.7465 0.2535 0.0000
F5 F 0.2588 0.2588 0.4824
F6 F 0.7465 0.7465 0.0000
Ta1 Ta 0.0000 0.0000 0.0000
Sc1 Sc 0.5000 0.5000 0.0000



# CePrNiPt | the Alexandria database | GGA-PBE | relaxed
# * distance to the lowest polymorph of the same formula: 114 meV/atom
# * volume: 90 Å³/cell
# * E_tot: -24.83 eV/f.u.
# * DFT formation energy: -575 meV per atom
data_CePrNiPt
_space_group_name_H-M_alt 'P 1'
_space_group_IT_number 1
_space_group_name_Hall 'P 1'
_cell_length_a 5.0248
_cell_length_b 5.0248
_cell_length_c 5.0248
_cell_angle_alpha 60.00
_cell_angle_beta 60.00
_cell_angle_gamma 60.00
loop_
_atom_site_label
_atom_site_type_symbol
_atom_site_fract_x
_atom_site_fract_y
_atom_site_fract_z
Ce1 Ce 0.0000 0.0000 0.0000
Pr1 Pr 0.5000 0.5000 0.5000
Ni1 Ni 0.2500 0.2500 0.2500
Pt1 Pt 0.7500 0.7500 0.7500



# TlSnHPb2 | the Alexandria database | GGA-PBE | relaxed
# * distance to the lowest polymorph of the same formula: 6 meV/atom
# * volume: 127 Å³/cell
# * E_tot: -16.09 eV/f.u.
data_TlSnHPb2
_space_group_name_H-M_alt 'P 1'
_space_group_IT_number 1
_space_group_name_Hall 'P 1'
_cell_length_a 4.9367
_cell_length_b 4.9367
_cell_length_c 5.2086
_cell_angle_alpha 90.00
_cell_angle_beta 90.00
_cell_angle_gamma 90.00
loop_
_atom_site_label
_atom_site_type_symbol
_atom_site_fract_x
_atom_site_fract_y
_atom_site_fract_z
Tl1 Tl 0.0000 0.0000 0.5000
H1 H 0.0000 0.0000 0.0000
Sn1 Sn 0.5000 0.5000 0.5000
Pb1 Pb 0.5000 0.0000 0.0000
Pb2 Pb 0.0000 0.5000 0.0000



# Gd2MgPtO6 | the Alexandria database | GGA-PBE | relaxed
# * volume: 243 Å³/cell
# * E_tot: -90.22 eV/f.u.
data_Gd2MgPtO6
_space_group_name_H-M_alt 'P 1'
_space_group_IT_number 1
_space_group_name_Hall 'P 1'
_cell_length_a 5.7447
_cell_length_b 5.4198
_cell_length_c 9.4616
_cell_angle_alpha 55.45
_cell_angle_beta 90.00
_cell_angle_gamma 90.00
loop_
_atom_site_label
_atom_site_type_symbol
_atom_site_fract_x
_atom_site_fract_y
_atom_site_fract_z
Gd1 Gd 0.9309 0.7697 0.7507
Gd2 Gd 0.5691 0.7697 0.2507
Gd3 Gd 0.0691 0.2303 0.2493
Gd4 Gd 0.4309 0.2303 0.7493
O1 O 0.5427 0.6372 0.7477
O2 O 0.9573 0.6372 0.2477
O3 O 0.3008 0.1296 0.0589
O4 O 0.8041 0.2494 0.0573
O5 O 0.4573 0.3628 0.2523
O6 O 0.6959 0.2494 0.5573
O7 O 0.1992 0.1296 0.5589
O8 O 0.0427 0.3628 0.7523
O9 O 0.1959 0.7506 0.9427
O10 O 0.3041 0.7506 0.4427
O11 O 0.6992 0.8704 0.9411
O12 O 0.8008 0.8704 0.4411
Pt1 Pt 0.5000 0.0000 0.5000
Pt2 Pt 0.0000 0.0000 0.0000
Mg1 Mg 0.5000 0.5000 0.0000
Mg2 Mg 0.0000 0.5000 0.5000



# Ta2FeAsC | the Alexandria database | GGA-PBE | relaxed
# * volume: 86 Å³/cell
# * E_tot: -36.51 eV/f.u.
# * DFT formation energy: 1907 meV per atom
data_Ta2FeAsC
_space_group_name_H-M_alt 'P 1'
_space_group_IT_number 1
_space_group_name_Hall 'P 1'
_cell_length_a 4.8456
_cell_length_b 3.6805
_cell_length_c 4.8456
_cell_angle_alpha 90.00
_cell_angle_beta 90.00
_cell_angle_gamma 90.00
loop_
_atom_site_label
_atom_site_type_symbol
_atom_site_fract_x
_atom_site_fract_y
_atom_site_fract_z
Ta1 Ta 0.0000 0.0000 0.5000
Ta2 Ta 0.5000 0.0000 0.0000
Fe1 Fe 0.5000 0.5000 0.5000
C1 C 0.0000 0.5000 0.0000
As1 As 0.0000 0.0000 0.0000



# LiCaHf3 | the Alexandria database | GGA-PBE | relaxed
# * distance to the lowest polymorph of the same formula: 0 meV/atom
# * volume: 120 Å³/cell
# * E_tot: -29.50 eV/f.u.
# * DFT formation energy: 855 meV per atom
data_LiCaHf3
_space_group_name_H-M_alt 'P 1'
_space_group_IT_number 1
_space_group_name_Hall 'P 1'
_cell_length_a 4.9365
_cell_length_b 4.9365
_cell_length_c 4.9365
_cell_angle_alpha 90.00
_cell_angle_beta 90.00
_cell_angle_gamma 90.00
loop_
_atom_site_label
_atom_site_type_symbol
_atom_site_fract_x
_atom_site_fract_y
_atom_site_fract_z
Ca1 Ca 0.5000 0.5000 0.5000
Hf1 Hf 0.5000 0.0000 0.0000
Hf2 Hf 0.0000 0.0000 0.5000
Hf3 Hf 0.0000 0.5000 0.0000
Li1 Li 0.0000 0.0000 0.0000



# CaY4Sn4 | the Alexandria database | GGA-PBE | relaxed
# * volume: 614 Å³/cell
# * E_tot: -48.51 eV/f.u.
# * DFT formation energy: -515 meV per atom
data_CaY4Sn4
_space_group_name_H-M_alt 'P 1'
_space_group_IT_number 1
_space_group_name_Hall 'P 1'
_cell_length_a 6.1411
_cell_length_b 9.9968
_cell_length_c 9.9968
_cell_angle_alpha 90.00
_cell_angle_beta 90.00
_cell_angle_gamma 90.00
loop_
_atom_site_label
_atom_site_type_symbol
_atom_site_fract_x
_atom_site_fract_y
_atom_site_fract_z
Y1 Y 0.3898 0.6451 0.1098
Y2 Y 0.6102 0.1098 0.3549
Y3 Y 0.1102 0.1451 0.6098
Y4 Y 0.6102 0.8902 0.6451
Y5 Y 0.8898 0.3902 0.1451
Y6 Y 0.3898 0.3549 0.8902
Y7 Y 0.1102 0.8549 0.3902
Y8 Y 0.8898 0.6098 0.8549
Ca1 Ca 0.5000 0.5000 0.5000
Ca2 Ca 0.0000 0.0000 0.0000
Sn1 Sn 0.9025 0.7058 0.1464
Sn2 Sn 0.4025 0.3536 0.2058
Sn3 Sn 0.5975 0.7942 0.3536
Sn4 Sn 0.9025 0.2942 0.8536
Sn5 Sn 0.5975 0.2058 0.6464
Sn6 Sn 0.0975 0.8536 0.7058
Sn7 Sn 0.4025 0.6464 0.7942
Sn8 Sn 0.0975 0.1464 0.2942



# HoTlSb2 | the Alexandria database | GGA-PBE | relaxed
# * distance to the lowest polymorph of the same formula: 0 meV/atom
# * volume: 114 Å³/cell
# * E_tot: -17.06 eV/f.u.
data_HoTlSb2
_space_group_name_H-M_alt 'P 1'
_space_group_IT_number 1
_space_group_name_Hall 'P 1'
_cell_length_a 4.1025
_cell_length_b 4.1025
_cell_length_c 6.7473
_cell_angle_alpha 90.00
_cell_angle_beta 90.00
_cell_angle_gamma 90.00
loop_
_atom_site_label
_atom_site_type_symbol
_atom_site_fract_x
_atom_site_fract_y
_atom_site_fract_z
Ho1 Ho 0.5000 0.5000 0.0000
Tl1 Tl 0.5000 0.5000 0.5000
Sb1 Sb 0.0000 0.0000 0.2207
Sb2 Sb 0.0000 0.0000 0.7793